Computed, not measured: a relaxed structure of Sm6YTe8 at the PBE level of DFT.

The structure in POSCAR format:
```
Sm6YTe8
1.0
7.665 0.000 4.425
2.555 7.227 4.425
0.000 0.000 8.851
Te Sm Y
8 6 1
Cartesian
6.376 1.822 6.657
2.555 1.807 4.425
6.376 1.822 11.044
2.577 1.822 8.851
7.643 5.404 8.851
3.844 5.404 11.044
3.844 5.404 6.657
7.665 5.420 13.276
3.832 0.000 2.213
1.277 3.613 6.638
0.000 0.000 4.425
5.110 3.613 4.425
3.832 0.000 6.638
1.277 3.613 2.213
0.000 0.000 0.000
```

ΔE_f (raw)   -138.0 kJ per mole of atoms
Electronic total energy   -81.37 eV per cell
V   32.684 Å³ per atom
Density   6.81 g/cm³
Space group   No. 225



Computed, not measured: a relaxed structure of Sm4YTe5 at the PBE level of DFT.

The structure in POSCAR format:
```
Sm4YTe5
1.0
-3.284 5.126 1.487
-7.593 -1.082 0.167
-1.249 0.850 7.522
Sm Y Te
4 1 5
Cartesian
-2.762 1.095 3.356
-6.753 2.589 2.597
-9.371 3.808 5.822
-5.379 2.314 6.581
-0.004 0.007 0.002
-1.646 2.570 0.745
-6.966 4.860 7.507
-4.251 3.768 4.063
-7.882 1.136 5.115
-5.166 0.044 1.671
```

ΔE_f (raw)   -132.0 kJ per mole of atoms
Electronic total energy   -54.73 eV per cell
V   30.734 Å³ per atom
Density   7.18 g/cm³
Space group   No. 87



Computed, not measured: a relaxed structure of Sm4Y3Te2 at the PBE level of DFT.

The structure in POSCAR format:
```
Sm4Y3Te2
1.0
3.756 0.000 -1.036
-1.014 8.808 -3.677
0.475 -1.373 9.051
Y Sm Te
3 4 2
Cartesian
2.769 5.519 2.713
-0.507 4.404 -1.839
0.448 1.916 1.625
3.073 0.755 3.814
1.229 7.634 -2.874
1.989 -0.200 7.212
0.144 6.680 0.524
2.018 4.063 -0.010
1.199 3.372 4.348
```

ΔE_f (raw)   -53.9 kJ per mole of atoms
Electronic total energy   -49.58 eV per cell
V   31.486 Å³ per atom
Density   6.58 g/cm³
Space group   No. 12



Computed, not measured: a relaxed structure of SmY5Te4 at the PBE level of DFT.

The structure in POSCAR format:
```
SmY5Te4
1.0
-4.016 -4.874 -4.058
2.208 -6.691 5.850
-7.958 2.078 5.381
Y Te Sm
10 8 2
Cartesian
-3.961 -7.731 2.624
-5.595 -4.869 8.078
-7.045 -6.925 4.709
-4.824 -5.115 0.337
-6.940 -0.793 4.515
-2.053 -7.177 -0.265
-0.722 -6.141 4.783
-4.838 -0.004 1.822
-2.067 -2.066 1.220
-7.909 -4.309 2.422
-6.080 -3.867 -2.128
-0.811 -3.314 3.684
-4.140 -6.047 5.189
-5.573 -2.070 6.904
-1.712 -4.283 -0.879
-0.543 -7.825 2.218
-5.179 -2.897 2.435
-9.276 -3.032 0.033
-3.432 -4.165 -3.468
-3.459 -3.015 5.025
```

ΔE_f (raw)   -77.9 kJ per mole of atoms
Electronic total energy   -115.35 eV per cell
V   33.783 Å³ per atom
Density   5.43 g/cm³
Space group   No. 59



Computed, not measured: a relaxed structure of Sm3YTe3 at the PBE level of DFT.

The structure in POSCAR format:
```
Sm3YTe3
1.0
9.101 0.000 0.000
4.550 7.881 0.000
4.550 2.627 6.054
Sm Y Te
6 2 6
Cartesian
10.274 1.942 1.555
5.645 5.894 1.555
6.819 2.582 4.499
12.556 4.615 4.499
11.382 7.927 1.555
7.927 8.566 4.499
4.550 2.627 0.325
13.651 7.881 5.729
11.758 4.849 1.462
7.422 3.156 1.462
8.123 7.758 1.462
10.780 7.353 4.592
6.444 5.659 4.592
10.079 2.751 4.592
```

ΔE_f (raw)   -103.8 kJ per mole of atoms
Electronic total energy   -75.16 eV per cell
Energy above the lowest structure with this stoichiometry   0.056 eV per atom
V   31.015 Å³ per atom
Density   7.06 g/cm³
Space group   No. 148



Computed, not measured: a relaxed structure of Sm3YTe3 at the PBE level of DFT.

The structure in POSCAR format:
```
Sm3YTe3
1.0
4.389 0.000 0.000
0.000 14.857 0.000
0.000 0.000 13.052
Y Sm Te
4 12 12
Cartesian
3.292 6.627 5.107
1.097 8.230 7.945
3.292 14.055 1.419
1.097 0.802 11.633
3.292 10.551 6.155
1.097 11.865 3.476
1.097 11.734 12.680
1.097 0.915 4.926
3.292 2.992 9.576
3.292 13.942 8.126
3.292 6.513 11.452
3.292 3.123 0.371
1.097 4.305 6.897
3.292 10.420 10.002
1.097 8.344 1.600
1.097 4.437 3.050
1.097 8.868 4.709
3.292 3.265 4.947
1.097 8.747 11.453
1.097 11.592 8.105
3.292 6.110 1.599
3.292 13.539 4.927
3.292 13.417 11.235
3.292 10.693 1.579
1.097 1.440 1.817
3.292 5.989 8.343
1.097 1.318 8.125
1.097 4.164 11.473
```

ΔE_f (raw)   -109.3 kJ per mole of atoms
Electronic total energy   -151.90 eV per cell
Energy above the lowest structure with this stoichiometry   0.000 eV per atom
V   30.394 Å³ per atom
Density   7.20 g/cm³
Space group   No. 62



Computed, not measured: a relaxed structure of SmY4Te6 at the PBE level of DFT.

The structure in POSCAR format:
```
SmY4Te6
1.0
4.287 0.000 0.000
-2.144 7.163 0.000
0.000 0.000 22.301
Te Y Sm
12 8 2
Cartesian
2.144 0.000 0.000
2.144 6.385 18.643
0.000 3.338 20.220
2.144 0.000 11.151
0.000 3.338 13.231
2.144 6.385 14.809
2.144 2.644 16.726
0.000 0.778 3.658
2.144 3.824 9.070
2.144 3.824 2.081
0.000 0.778 7.493
0.000 4.519 5.575
0.000 5.900 8.355
0.000 2.061 10.361
0.000 5.900 2.796
0.000 2.061 0.790
2.144 1.263 19.505
2.144 5.102 21.512
2.144 1.263 13.946
2.144 5.102 11.940
0.000 4.966 16.726
2.144 2.196 5.575
```

ΔE_f (raw)   -133.8 kJ per mole of atoms
Electronic total energy   -129.35 eV per cell
V   31.129 Å³ per atom
Density   6.17 g/cm³
Space group   No. 63



Computed, not measured: a relaxed structure of Sm8YTe6 at the PBE level of DFT.

The structure in POSCAR format:
```
Sm8YTe6
1.0
-1.261 1.312 3.773
-1.084 -11.111 3.501
10.159 5.623 1.441
Sm Te Y
8 6 1
Cartesian
7.983 -1.213 6.617
-0.170 -2.964 2.098
1.710 -4.542 5.666
6.103 0.365 3.049
6.389 4.562 4.076
1.424 -8.739 4.639
5.821 -3.945 4.442
1.992 -0.231 4.273
7.551 1.888 5.329
3.950 -6.488 4.766
2.810 -3.040 3.187
3.863 2.312 3.949
0.262 -6.065 3.386
5.003 -1.137 5.528
-0.631 0.656 1.886
```

ΔE_f (raw)   -88.4 kJ per mole of atoms
Electronic total energy   -76.81 eV per cell
V   33.108 Å³ per atom
Density   6.88 g/cm³
Space group   No. 147



Please write out number 2 again, unchanged.
Computed, not measured: a relaxed structure of Sm4YTe5 at the PBE level of DFT.

The structure in POSCAR format:
```
Sm4YTe5
1.0
-3.284 5.126 1.487
-7.593 -1.082 0.167
-1.249 0.850 7.522
Sm Y Te
4 1 5
Cartesian
-2.762 1.095 3.356
-6.753 2.589 2.597
-9.371 3.808 5.822
-5.379 2.314 6.581
-0.004 0.007 0.002
-1.646 2.570 0.745
-6.966 4.860 7.507
-4.251 3.768 4.063
-7.882 1.136 5.115
-5.166 0.044 1.671
```

ΔE_f (raw)   -132.0 kJ per mole of atoms
Electronic total energy   -54.73 eV per cell
V   30.734 Å³ per atom
Density   7.18 g/cm³
Space group   No. 87